# 1
An optimized crystal structure of Cs2PrPu3O12, computed with PBE-GGA.

Structure (extended XYZ):
```
18
Lattice="4.0226 2.3224 6.3332 -4.0226 2.3224 6.3332 0.0000 -4.6449 6.3332" Properties=species:S:1:pos:R:3 pbc="T T T"
Cs 0.0000 0.0000 2.2688
Cs 0.0000 0.0000 16.7308
Pr 0.0000 0.0000 9.4998
Pu -2.0113 -1.1612 6.3332
Pu -2.0113 1.1612 12.6664
Pu 0.0000 2.3224 6.3332
O -1.7707 -1.0223 8.2514
O 0.0000 -1.7462 6.1266
O -1.5123 0.8731 6.1266
O 0.0000 -2.0446 10.7482
O -1.7707 1.0223 10.7482
O -1.5123 -0.8731 12.8729
O 1.5123 0.8731 6.1266
O 1.7707 -1.0223 8.2514
O 0.0000 2.0446 8.2514
O 1.5123 -0.8731 12.8729
O 0.0000 1.7462 12.8729
O 1.7707 1.0223 10.7482
```

Calculated values
V: 355 Å³/cell
ΔE_f (raw): -2.55 eV/atom
Total magnetization: 5.0 μB/f.u.

# 2
An optimized crystal structure of Ba6As2PCl, computed with PBE-GGA.

Structure (extended XYZ):
```
20
Lattice="7.7825 0.0000 0.0000 0.0000 8.8211 0.0000 -7.2481 0.0000 11.7778" Properties=species:S:1:pos:R:3 pbc="T T T"
Ba -1.1134 0.4565 2.8745
Ba -4.7375 3.9540 8.7634
Ba 1.3607 6.1412 0.9836
Ba -2.2633 7.0904 6.8725
Ba 2.5437 1.5634 0.9186
Ba -1.0804 2.8471 6.8075
Ba 1.6148 5.9740 4.9703
Ba -2.0092 7.2577 10.8592
Ba 2.7977 1.7307 4.9053
Ba -0.8263 2.6799 10.7942
Ba 5.2719 4.8670 3.0144
Ba 1.6479 8.3646 8.9033
As -3.0153 0.9884 8.8989
As 0.6087 3.4222 3.0100
As -0.0743 5.3989 8.7678
As 3.5498 7.8327 2.8789
P 0.0000 0.0000 0.0000
P -3.6240 4.4105 5.8889
Cl 0.2672 0.0000 5.8889
Cl 3.8913 4.4105 0.0000
```

Calculated values
V: 809 Å³/cell
ΔE_f (raw): -1.13 eV/atom
Total magnetization: 1.7 μB/f.u.

# 3
An optimized crystal structure of LiLa2Sn4, computed with PBE-GGA.

Structure (extended XYZ):
```
7
Lattice="-2.4973 2.4973 8.0504 2.4973 -2.4973 8.0504 2.4973 2.4973 -8.0504" Properties=species:S:1:pos:R:3 pbc="T T T"
Li 0.0000 0.0000 0.0000
La 0.0000 0.0000 5.8105
La 0.0000 0.0000 10.2902
Sn 2.4973 0.0000 0.0000
Sn 0.0000 0.0000 2.6001
Sn 0.0000 2.4973 0.0000
Sn 0.0000 0.0000 13.5006
```

Calculated values
Formation energy from the elements: -0.422 eV per atom
V: 201 Å³/cell
Total magnetization: 0.0 μB/f.u.

# 4
An optimized crystal structure of TlWSe2, computed with PBE-GGA.

Structure (extended XYZ):
```
4
Lattice="3.8378 0.0000 0.0000 0.0000 3.9028 0.0000 0.0000 0.0000 7.1768" Properties=species:S:1:pos:R:3 pbc="T T T"
Tl 0.0000 0.0000 0.0000
W 0.0000 1.9514 3.5884
Se 1.9189 0.0000 3.5884
Se 1.9189 1.9514 0.0000
```

Calculated values
Relative energy among the computed polymorphs: 1.078 eV/atom
V: 107 Å³/cell
ΔE_f (raw): 0.87 eV/atom
Total magnetization: 3.7 μB/f.u.

# 5
An optimized crystal structure of NaAsH4O5, computed with PBE-GGA.

Structure (extended XYZ):
```
44
Lattice="5.2609 0.0000 0.0000 0.0000 8.5015 0.0000 0.0000 0.0000 10.6018" Properties=species:S:1:pos:R:3 pbc="T T T"
Na 0.3494 0.7874 0.9167
Na 2.2811 7.7141 6.2176
Na 2.9798 3.4634 9.6852
Na 4.9116 5.0381 4.3843
As 0.4632 2.5795 6.9921
As 2.1673 5.9220 1.6912
As 3.0936 1.6712 3.6097
As 4.7978 6.8303 8.9107
H 0.1498 4.3028 8.4724
H 0.2427 3.8118 0.5629
H 0.7780 7.4898 3.6967
H 1.0437 2.3204 4.2840
H 1.5867 6.1811 9.5849
H 1.8525 1.0117 8.9976
H 2.3878 4.6897 5.8638
H 2.4807 4.1987 3.1715
H 2.7803 8.4495 2.1294
H 2.8732 0.4389 10.0389
H 3.4084 5.2624 6.9051
H 3.6742 1.9304 6.3179
H 4.2172 6.5711 1.0169
H 4.4830 3.2391 1.6042
H 5.0182 8.0626 4.7380
H 5.1111 0.0520 7.4303
O 0.4238 7.3457 4.6114
O 0.8701 3.5667 8.3831
O 0.9754 3.3380 5.5635
O 1.0655 1.0208 7.3021
O 1.3007 6.7821 8.8094
O 1.3298 1.7194 3.5085
O 1.5649 7.4807 2.0012
O 1.6551 5.1635 0.2625
O 1.7603 4.9348 3.0822
O 2.2067 1.1558 9.9123
O 3.0542 5.4066 5.9905
O 3.5006 0.6841 2.2187
O 3.6059 0.9127 5.0384
O 3.6960 3.2300 3.2997
O 3.9312 5.9702 1.7924
O 3.9603 2.5314 7.0933
O 4.1954 5.2716 8.6006
O 4.2855 7.5888 10.3393
O 4.3908 7.8175 7.5197
O 4.8372 3.0949 0.6896
```

Calculated values
Relative energy among the computed polymorphs: 0.005 eV/atom
V: 474 Å³/cell
Total magnetization: 0.0 μB/f.u.

# 6
An optimized crystal structure of Zr2NiW, computed with PBE-GGA.

Structure (extended XYZ):
```
4
Lattice="1.8270 -2.2959 0.0000 1.8270 2.2959 0.0000 0.0000 0.0000 8.4464" Properties=species:S:1:pos:R:3 pbc="T T T"
Zr 0.0000 0.0000 1.9492
Zr 0.0000 0.0000 6.4972
Ni 1.8270 0.0000 0.0000
W 1.8270 0.0000 4.2232
```

Calculated values
Relative energy among the computed polymorphs: 0.137 eV/atom
Formation energy from the elements: 0.020 eV per atom
V: 71 Å³/cell
Total magnetization: 0.0 μB/f.u.

# 7
An optimized crystal structure of SrPa4Mo3N12, computed with PBE-GGA.

Structure (extended XYZ):
```
20
Lattice="-4.1420 4.1420 4.1420 4.1420 -4.1420 4.1420 4.1420 4.1420 -4.1420" Properties=species:S:1:pos:R:3 pbc="T T T"
Sr 0.0000 0.0000 0.0000
Pa 2.0710 2.0710 -2.0710
Pa 2.0710 -2.0710 2.0710
Pa -2.0710 2.0710 2.0710
Pa 2.0710 2.0710 2.0710
Mo 4.1420 0.0000 0.0000
Mo 0.0000 4.1420 0.0000
Mo 0.0000 0.0000 4.1420
N 4.1420 -1.4732 2.7887
N 2.6688 1.3533 0.0000
N 5.6152 1.3533 0.0000
N 2.7887 4.1420 -1.4732
N 1.3533 0.0000 2.6688
N 0.0000 2.6688 1.3533
N 4.1420 1.4732 2.7887
N 2.7887 4.1420 1.4732
N 1.3533 0.0000 5.6152
N -1.4732 2.7887 4.1420
N 1.4732 2.7887 4.1420
N 0.0000 5.6152 1.3533
```

Calculated values
V: 284 Å³/cell
ΔE_f (raw): -0.76 eV/atom
Total magnetization: 0.0 μB/f.u.

# 8
An optimized crystal structure of LiAlInNi, computed with PBE-GGA.

Structure (extended XYZ):
```
4
Lattice="0.0000 3.0876 3.0876 3.0876 0.0000 3.0876 3.0876 3.0876 0.0000" Properties=species:S:1:pos:R:3 pbc="T T T"
Li 0.0000 0.0000 0.0000
Al 1.5438 1.5438 1.5438
In 4.6314 4.6314 4.6314
Ni 3.0876 3.0876 3.0876
```

Calculated values
Formation energy from the elements: -0.296 eV per atom
V: 59 Å³/cell
Total magnetization: 0.0 μB/f.u.

no.,E (eV/atom)
1,-8.600
2,-3.944
3,-4.391
4,-4.697
5,-5.269
6,-8.937
7,-9.367
8,-3.840